Below is a relaxed Hf2CuGe crystal, with properties calculated at the PBE level.

Cell lengths 4.3236, 4.3236, 3.7656 Å; angles 90.00, 90.00, 90.00 degrees
With the nearest neighbours (Å) after each atom.
Space group P4/mmm (No. 123)
One atom of each set of equivalent atoms:
Hf: 0.0000 0.5000 0.0000 (multiplicity 2)  4 Ge 2.87, 4 Cu 2.87, 4 Hf 3.06
Cu: 0.0000 0.0000 0.5000 (multiplicity 1)  8 Hf 2.87, 4 Ge 3.06
Ge: 0.5000 0.5000 0.5000 (multiplicity 1)  8 Hf 2.87, 4 Cu 3.06

Results
N(E_F)	2.87	states/eV/cell
total magnetization	0.000	μB per formula unit
E	-7.47	eV/atom
calculated volume	17.60	Å³/atom
calculated formation energy	-1.2	eV/f.u.